# Hf2ZnNiPt5 (PBE-GGA, optimized geometry)
# Formation energy, eV per atom: -0.285
# Electronic total energy, eV/atom: -6.637
data_Hf2ZnNiPt5
_chemical_formula_sum 'Hf8 Zn4 Ni4 Pt20'
_symmetry_space_group_name_H-M 'I 4/m c m'
_symmetry_Int_Tables_number 140
_symmetry_space_group_name_Hall '-I 4 2c'
_cell_length_a 7.994
_cell_length_b 7.994
_cell_length_c 10.169
_cell_angle_alpha 90.00
_cell_angle_beta 90.00
_cell_angle_gamma 90.00
loop_
_atom_site_label
_atom_site_fract_x
_atom_site_fract_y
_atom_site_fract_z
Hf1 0.125 0.375 0.000
Zn1 0.000 0.000 0.250
Ni1 0.000 0.500 0.250
Pt1 0.000 0.000 0.000
Pt2 0.185 0.315 0.365



# PuHf2Ni (PBE-GGA, optimized geometry)
# Energy above the lowest structure with this stoichiometry, eV per atom: 0.414
# Formation energy, eV per atom: 0.279
# Electronic total energy, eV/atom: -9.726
data_PuHf2Ni
_chemical_formula_sum 'Pu3 Hf6 Ni3'
_symmetry_space_group_name_H-M 'R -3 m'
_symmetry_Int_Tables_number 166
_symmetry_space_group_name_Hall '-R 3 2"'
_cell_length_a 3.0757
_cell_length_b 3.0757
_cell_length_c 30.4907
_cell_angle_alpha 90.00
_cell_angle_beta 90.00
_cell_angle_gamma 120.00
loop_
_atom_site_label
_atom_site_fract_x
_atom_site_fract_y
_atom_site_fract_z
Pu1 0.0000 0.0000 0.0000
Hf1 0.0000 0.0000 0.1009
Ni1 0.0000 0.0000 0.5000



# PuHfNi (PBE-GGA, optimized geometry)
# Energy above the lowest structure with this stoichiometry, eV per atom: 0.078
# Formation energy, eV per atom: -0.081
# Electronic total energy, eV/atom: -10.104
data_PuHfNi
_chemical_formula_sum 'Pu2 Hf2 Ni2'
_symmetry_space_group_name_H-M 'I 4 m m'
_symmetry_Int_Tables_number 107
_symmetry_space_group_name_Hall 'I 4 -2'
_cell_length_a 3.222
_cell_length_b 3.222
_cell_length_c 11.494
_cell_angle_alpha 90.00
_cell_angle_beta 90.00
_cell_angle_gamma 90.00
loop_
_atom_site_label
_atom_site_fract_x
_atom_site_fract_y
_atom_site_fract_z
Pu1 0.000 0.000 0.000
Hf1 0.000 0.000 0.290
Ni1 0.000 0.000 0.674



# Pu3HfNi8 (PBE-GGA, optimized geometry)
# Formation energy, eV per atom: -0.310
# Electronic total energy, eV/atom: -8.576
data_Pu3HfNi8
_chemical_formula_sum 'Pu9 Hf3 Ni24'
_symmetry_space_group_name_H-M 'R 3 m'
_symmetry_Int_Tables_number 160
_symmetry_space_group_name_Hall 'R 3 -2"'
_cell_length_a 5.0025
_cell_length_b 5.0025
_cell_length_c 24.4692
_cell_angle_alpha 90.00
_cell_angle_beta 90.00
_cell_angle_gamma 120.00
loop_
_atom_site_label
_atom_site_fract_x
_atom_site_fract_y
_atom_site_fract_z
Pu1 0.0000 0.0000 0.0000
Pu2 0.0000 0.0000 0.1244
Pu3 0.0000 0.0000 0.4954
Hf1 0.0000 0.0000 0.6212
Ni1 0.0000 0.0000 0.3104
Ni2 0.0000 0.0000 0.8106
Ni3 0.0031 0.5016 0.5631
Ni4 0.1688 0.3375 0.3913



# PuHf2Ni (PBE-GGA, optimized geometry)
# Energy above the lowest structure with this stoichiometry, eV per atom: 0.216
# Formation energy, eV per atom: 0.080
# Electronic total energy, eV/atom: -9.925
data_PuHf2Ni
_chemical_formula_sum 'Pu3 Hf6 Ni3'
_symmetry_space_group_name_H-M 'R 3 m'
_symmetry_Int_Tables_number 160
_symmetry_space_group_name_Hall 'R 3 -2"'
_cell_length_a 3.2187
_cell_length_b 3.2187
_cell_length_c 27.4284
_cell_angle_alpha 90.00
_cell_angle_beta 90.00
_cell_angle_gamma 120.00
loop_
_atom_site_label
_atom_site_fract_x
_atom_site_fract_y
_atom_site_fract_z
Pu1 0.0000 0.0000 0.0000
Hf1 0.0000 0.0000 0.5699
Hf2 0.0000 0.0000 0.7653
Ni1 0.0000 0.0000 0.1670



# Pu2HfNi (PBE-GGA, optimized geometry)
# Formation energy, eV per atom: 0.417
# Electronic total energy, eV/atom: -10.683
data_Pu2HfNi
_chemical_formula_sum 'Pu6 Hf3 Ni3'
_symmetry_space_group_name_H-M 'R -3 m'
_symmetry_Int_Tables_number 166
_symmetry_space_group_name_Hall '-R 3 2"'
_cell_length_a 2.9668
_cell_length_b 2.9668
_cell_length_c 32.2261
_cell_angle_alpha 90.00
_cell_angle_beta 90.00
_cell_angle_gamma 120.00
loop_
_atom_site_label
_atom_site_fract_x
_atom_site_fract_y
_atom_site_fract_z
Pu1 0.0000 0.0000 0.0951
Hf1 0.0000 0.0000 0.0000
Ni1 0.0000 0.0000 0.5000



# PuHfNi (PBE-GGA, optimized geometry)
# Energy above the lowest structure with this stoichiometry, eV per atom: 0.000
# Formation energy, eV per atom: -0.160
# Electronic total energy, eV/atom: -10.182
data_PuHfNi
_chemical_formula_sum 'Pu16 Hf16 Ni16'
_symmetry_space_group_name_H-M 'F d d d'
_symmetry_Int_Tables_number 70
_cell_length_a 5.580
_cell_length_b 9.188
_cell_length_c 18.051
_cell_angle_alpha 90.00
_cell_angle_beta 90.00
_cell_angle_gamma 90.00
loop_
_symmetry_equiv_pos_as_xyz
'x,y,z'
'-x,-y,-z'
'-x+1/4,-y+1/4,z'
'x+1/4,y+1/4,-z'
'x,-y+1/4,-z+1/4'
'-x,y+1/4,z+1/4'
'-x+1/4,y,-z+1/4'
'x+1/4,-y,z+1/4'
'x,y+1/2,z+1/2'
'-x,-y+1/2,-z+1/2'
'-x+1/4,-y+3/4,z+1/2'
'x+1/4,y+3/4,-z+1/2'
'x,-y+3/4,-z+3/4'
'-x,y+3/4,z+3/4'
'-x+1/4,y+1/2,-z+3/4'
'x+1/4,-y+1/2,z+3/4'
'x+1/2,y,z+1/2'
'-x+1/2,-y,-z+1/2'
'-x+3/4,-y+1/4,z+1/2'
'x+3/4,y+1/4,-z+1/2'
'x+1/2,-y+1/4,-z+3/4'
'-x+1/2,y+1/4,z+3/4'
'-x+3/4,y,-z+3/4'
'x+3/4,-y,z+3/4'
'x+1/2,y+1/2,z'
'-x+1/2,-y+1/2,-z'
'-x+3/4,-y+3/4,z'
'x+3/4,y+3/4,-z'
'x+1/2,-y+3/4,-z+1/4'
'-x+1/2,y+3/4,z+1/4'
'-x+3/4,y+1/2,-z+1/4'
'x+3/4,-y+1/2,z+1/4'
loop_
_atom_site_label
_atom_site_fract_x
_atom_site_fract_y
_atom_site_fract_z
Pu1 0.125 0.125 0.044
Hf1 0.125 0.295 0.625
Ni1 0.125 0.125 0.502



# PuHf2Ni (PBE-GGA, optimized geometry)
# Energy above the lowest structure with this stoichiometry, eV per atom: 0.000
# Formation energy, eV per atom: -0.136
# Electronic total energy, eV/atom: -10.141
data_PuHf2Ni
_chemical_formula_sum 'Pu1 Hf2 Ni1'
_symmetry_space_group_name_H-M 'P 4/m m m'
_symmetry_Int_Tables_number 123
_symmetry_space_group_name_Hall '-P 4 2'
_cell_length_a 3.216
_cell_length_b 3.216
_cell_length_c 7.552
_cell_angle_alpha 90.00
_cell_angle_beta 90.00
_cell_angle_gamma 90.00
loop_
_atom_site_label
_atom_site_fract_x
_atom_site_fract_y
_atom_site_fract_z
Pu1 0.000 0.000 0.000
Hf1 0.500 0.500 0.294
Ni1 0.000 0.000 0.500